Record 1
{
  "formula": "Ta2PdS4",
  "functional": "PBE",
  "state": "relaxed",
  "crystal_system": "tetragonal",
  "lattice": [[-2.3916, -6.6905, 1.3514], [5.7419, -2.7324, -3.4459], [0.9375, 4.6618, 5.4366]],
  "species": ["Ta", "Ta", "Ta", "Ta", "Pd", "Pd", "S", "S", "S", "S", "S", "S", "S", "S"],
  "fractional_positions": [[0.6250, 0.3751, 0.7501], [0.6250, 0.8749, 0.2499], [0.6250, 0.3750, 0.2501], [0.1249, 0.3750, 0.7499], [0.2500, 0.7501, 0.5000], [0.0001, 0.0000, 0.0000], [0.8682, 0.1316, 0.2621], [0.3818, 0.6184, 0.2378], [0.8695, 0.6061, 0.7379], [0.8683, 0.1318, 0.7378], [0.3940, 0.1305, 0.2622], [0.3805, 0.1440, 0.7622], [0.3815, 0.6182, 0.7621], [0.8560, 0.6195, 0.2379]]
}

=====

Record 2
{
  "formula": "Ta3PdS",
  "functional": "PBE",
  "state": "relaxed",
  "e_above_lowest_polymorph_mev_per_atom": 0.0,
  "crystal_system": "cubic",
  "lattice": [[-0.5804, 3.1889, -3.1532], [-3.5181, -2.2955, -1.6739], [-2.7810, 2.2383, 2.7756]],
  "species": ["S", "Pd", "Ta", "Ta", "Ta"],
  "fractional_positions": [[0.0000, 0.0000, 0.0000], [0.5000, 0.5000, 0.5000], [0.0000, 0.5000, 0.0000], [0.0000, 0.0000, 0.5000], [0.5000, 0.0000, 0.0000]]
}

=====

Record 3
{
  "formula": "Ta2PdS5",
  "functional": "PBE",
  "state": "relaxed",
  "crystal_system": "orthorhombic",
  "lattice": [[-1.6218, -1.1649, 4.4693], [5.8938, 1.4039, -0.1761], [-2.7594, 11.8462, 2.0863]],
  "species": ["Ta", "Ta", "Ta", "Ta", "Pd", "Pd", "S", "S", "S", "S", "S", "S", "S", "S", "S", "S"],
  "fractional_positions": [[0.8344, 0.6688, 0.4412], [0.8344, 0.6688, 0.0588], [0.1656, 0.3312, 0.5588], [0.1656, 0.3312, 0.9412], [0.8042, 0.6084, 0.7500], [0.1958, 0.3916, 0.2500], [0.9536, 0.9073, 0.8942], [0.9536, 0.9073, 0.6058], [0.3306, 0.6611, 0.4202], [0.3306, 0.6611, 0.0798], [0.7448, 0.4896, 0.2500], [0.2552, 0.5104, 0.7500], [0.6694, 0.3389, 0.5798], [0.6694, 0.3389, 0.9202], [0.0464, 0.0927, 0.1058], [0.0464, 0.0927, 0.3942]]
}

=====

Record 4
{
  "formula": "Ta2Tl2PdS6",
  "functional": "PBE",
  "state": "relaxed",
  "crystal_system": "monoclinic",
  "lattice": [[-5.7790, 0.8313, 2.4279], [2.9383, -5.5985, -0.0781], [3.9430, 2.9289, 6.2014]],
  "species": ["Ta", "Ta", "Tl", "Tl", "Pd", "S", "S", "S", "S", "S", "S"],
  "fractional_positions": [[0.3540, 0.6460, 0.5000], [0.6460, 0.3540, 0.5000], [0.8338, 0.1662, 0.0000], [0.1662, 0.8338, 0.0000], [0.0000, 0.0000, 0.5000], [0.7225, 0.7225, 0.6974], [0.0420, 0.4101, 0.6796], [0.2775, 0.2775, 0.3026], [0.4101, 0.0420, 0.6796], [0.9580, 0.5899, 0.3204], [0.5899, 0.9580, 0.3204]]
}

=====

Record 5
{
  "formula": "TaTl3Pd2S6",
  "functional": "PBE",
  "state": "relaxed",
  "crystal_system": "monoclinic",
  "lattice": [[-4.4513, -1.7394, 4.1587], [-1.2494, -0.1403, -6.2091], [4.3185, -6.5396, 0.3250]],
  "species": ["Ta", "Tl", "Tl", "Tl", "Pd", "Pd", "S", "S", "S", "S", "S", "S"],
  "fractional_positions": [[0.0000, 0.0000, 0.0000], [0.1667, 0.8333, 0.5000], [0.8333, 0.1667, 0.5000], [0.5000, 0.5000, 0.5000], [0.3351, 0.6649, 0.0000], [0.6649, 0.3351, 0.0000], [0.9447, 0.6153, 0.8234], [0.7323, 0.7323, 0.1806], [0.0553, 0.3847, 0.1766], [0.6153, 0.9447, 0.8234], [0.2677, 0.2677, 0.8194], [0.3847, 0.0553, 0.1766]]
}

=====

Record 6
{
  "formula": "Tb2PdS",
  "functional": "PBE",
  "state": "relaxed",
  "e_above_lowest_polymorph_mev_per_atom": 137.1,
  "crystal_system": "trigonal",
  "lattice": [[-2.4986, -2.8342, 0.6964], [-0.2571, -2.9722, -2.4209], [4.1382, -5.4616, 3.2171]],
  "species": ["Tb", "Tb", "Pd", "S"],
  "fractional_positions": [[0.0799, 0.0799, 0.7603], [0.2530, 0.2530, 0.2410], [0.4995, 0.4995, 0.5014], [0.6676, 0.6676, 0.9973]]
}

=====

| no. | ΔE_f (raw) (eV/atom) | magnetic moment (μB per formula unit) |
| --- | --- | --- |
| 1 | -0.777 | 0.00 |
| 2 | 0.314 | 0.00 |
| 3 | -0.603 | 0.00 |
| 4 | -0.627 | 0.00 |
| 5 | -0.383 | 0.00 |
| 6 | -1.305 | 0.00 |